Entry 1:
! KBaH3, optimized geometry, DFT GGA-PBE; values from VASP
! relative energy among the computed polymorphs: 24.1 meV/atom
! density: 2.26 g cm⁻³
! spin magnetization: 0.00 μB per formula unit
&SYSTEM
  ibrav = 0, nat = 10, ntyp = 3
/
ATOMIC_SPECIES
K 39.10 K.upf
Ba 137.33 Ba.upf
H 1.01 H.upf
ATOMIC_POSITIONS crystal
K 0.1383 0.2500 0.1510
K 0.8617 0.7500 0.8490
Ba 0.2616 0.2500 0.6111
Ba 0.7384 0.7500 0.3889
H 0.0381 0.7500 0.5968
H 0.1014 0.2500 0.8635
H 0.4727 0.2500 0.3597
H 0.5273 0.7500 0.6403
H 0.8986 0.7500 0.1365
H 0.9619 0.2500 0.4032
CELL_PARAMETERS angstrom
6.4043 0.0000 0.0000
0.0000 4.4625 0.0000
-0.8806 0.0000 9.2437

=====

Entry 2:
! KBaH3, optimized geometry, DFT GGA-PBE; values from VASP
! relative energy among the computed polymorphs: 255.7 meV/atom
! density: 2.90 g cm⁻³
! spin magnetization: 0.00 μB per formula unit
&SYSTEM
  ibrav = 0, nat = 5, ntyp = 3
/
ATOMIC_SPECIES
K 39.10 K.upf
Ba 137.33 Ba.upf
H 1.01 H.upf
ATOMIC_POSITIONS crystal
K 0.0000 0.0000 0.0000
Ba 0.5000 0.5000 0.5000
H 0.0000 0.0000 0.5000
H 0.0000 0.5000 0.0000
H 0.5000 0.0000 0.0000
CELL_PARAMETERS angstrom
4.6847 0.0000 0.0000
0.0000 4.6847 0.0000
0.0000 0.0000 4.6847

=====

Entry 3:
! KBa2H2, optimized geometry, DFT GGA-PBE; values from VASP
! relative energy among the computed polymorphs: 240.6 meV/atom
! density: 2.69 g cm⁻³
! spin magnetization: 0.00 μB per formula unit
&SYSTEM
  ibrav = 0, nat = 5, ntyp = 3
/
ATOMIC_SPECIES
K 39.10 K.upf
Ba 137.33 Ba.upf
H 1.01 H.upf
ATOMIC_POSITIONS crystal
K 0.0000 0.0000 0.0000
Ba 0.2500 0.7500 0.5000
Ba 0.7500 0.2500 0.5000
H 0.2127 0.2127 0.0000
H 0.7873 0.7873 0.0000
CELL_PARAMETERS angstrom
-2.7055 2.7055 6.6591
2.7055 -2.7055 6.6591
2.7055 2.7055 -6.6591

=====

Entry 4:
! KBaH3, optimized geometry, DFT GGA-PBE; values from VASP
! relative energy among the computed polymorphs: 0.0 meV/atom
! density: 2.86 g cm⁻³
! spin magnetization: 0.00 μB per formula unit
&SYSTEM
  ibrav = 0, nat = 20, ntyp = 3
/
ATOMIC_SPECIES
K 39.10 K.upf
Ba 137.33 Ba.upf
H 1.01 H.upf
ATOMIC_POSITIONS crystal
K 0.0652 0.2426 0.4094
K 0.0652 0.2574 0.9094
K 0.9348 0.7426 0.0906
K 0.9348 0.7574 0.5906
Ba 0.4455 0.7438 0.3509
Ba 0.4455 0.7562 0.8509
Ba 0.5545 0.2438 0.1491
Ba 0.5545 0.2562 0.6491
H 0.2048 0.0238 0.1796
H 0.2048 0.4762 0.6796
H 0.2865 0.5453 0.0795
H 0.2865 0.9547 0.5795
H 0.4008 0.1286 0.8825
H 0.4008 0.3714 0.3825
H 0.5992 0.6286 0.6175
H 0.5992 0.8714 0.1175
H 0.7135 0.0453 0.4205
H 0.7135 0.4547 0.9205
H 0.7952 0.5238 0.3204
H 0.7952 0.9762 0.8204
CELL_PARAMETERS angstrom
6.9924 0.0000 0.0000
0.0000 6.8140 0.0000
-0.8116 0.0000 8.7531